(A)
VASP calculation (PBE) on a relaxed structure of SiAsSe2Br.

a b c (Å): 5.0975 5.0975 5.1533
angles (deg): 90.00 90.00 90.00
Fractional positions:
Si 0.0000 0.0000 0.0000
As 0.5000 0.5000 0.0000
Se 0.0000 0.5000 0.5000
Se 0.5000 0.0000 0.5000
Br 0.5000 0.5000 0.5000

Calculated values
Density of states at the Fermi level   5.45 states/eV/f.u.
M_tot   0.0 μB/f.u.

***

(B)
VASP calculation (PBE) on a relaxed structure of SiAsSe2Br.

a b c (Å): 4.7283 4.7283 5.2524
angles (deg): 90.00 90.00 90.00
Fractional positions:
Si 0.0000 0.0000 0.0000
As 0.0000 0.0000 0.5000
Se 0.0000 0.5000 0.0000
Se 0.5000 0.0000 0.0000
Br 0.5000 0.5000 0.5000

Calculated values
Density of states at the Fermi level   4.51 states/eV/f.u.
M_tot   0.0 μB/f.u.

***

Order of stability, best first: (B), (A)

***

(A)
VASP calculation (PBE) on a relaxed structure of SnAs2SeBr.

a b c (Å): 5.1077 5.1077 5.3490
angles (deg): 90.00 90.00 90.00
Fractional positions:
Sn 0.0000 0.0000 0.0000
As 0.0000 0.5000 0.5000
As 0.5000 0.0000 0.5000
Se 0.5000 0.5000 0.0000
Br 0.5000 0.5000 0.5000

Calculated values
Density of states at the Fermi level   6.96 states/eV/f.u.
M_tot   0.0 μB/f.u.

***

(B)
VASP calculation (PBE) on a relaxed structure of SnAs2SeBr.

a b c (Å): 5.1073 5.1073 5.3090
angles (deg): 90.00 90.00 90.00
Fractional positions:
Sn 0.0000 0.0000 0.0000
As 0.0000 0.5000 0.5000
As 0.5000 0.0000 0.5000
Se 0.5000 0.5000 0.5000
Br 0.5000 0.5000 0.0000

Calculated values
Density of states at the Fermi level   5.61 states/eV/f.u.
M_tot   0.0 μB/f.u.

***

Order of stability, best first: (B), (A)

***

(A)
VASP calculation (PBE) on a relaxed structure of SnAs2SeBr.

a b c (Å): 5.4086 5.4086 5.1950
angles (deg): 90.00 90.00 90.00
Fractional positions:
Sn 0.0000 0.0000 0.0000
As 0.0000 0.5000 0.0000
As 0.5000 0.0000 0.0000
Se 0.0000 0.0000 0.5000
Br 0.5000 0.5000 0.5000

Calculated values
Density of states at the Fermi level   5.10 states/eV/f.u.
M_tot   1.0 μB/f.u.

***

(B)
VASP calculation (PBE) on a relaxed structure of SnAs2SeBr.

a b c (Å): 5.3907 5.3907 5.2436
angles (deg): 90.00 90.00 90.00
Fractional positions:
Sn 0.0000 0.0000 0.0000
As 0.0000 0.5000 0.0000
As 0.5000 0.0000 0.0000
Se 0.5000 0.5000 0.5000
Br 0.0000 0.0000 0.5000

Calculated values
Density of states at the Fermi level   3.71 states/eV/f.u.
M_tot   0.9 μB/f.u.

***

Order of stability, best first: (A), (B)

***

(A)
VASP calculation (PBE) on a relaxed structure of SnAsSeBr2.

a b c (Å): 5.1957 5.1957 5.3759
angles (deg): 90.00 90.00 90.00
Fractional positions:
Sn 0.0000 0.0000 0.0000
As 0.5000 0.5000 0.5000
Se 0.5000 0.5000 0.0000
Br 0.0000 0.5000 0.5000
Br 0.5000 0.0000 0.5000

Calculated values
Density of states at the Fermi level   2.39 states/eV/f.u.
M_tot   0.0 μB/f.u.

***

(B)
VASP calculation (PBE) on a relaxed structure of SnAsSeBr2.

a b c (Å): 5.2590 5.2590 5.3135
angles (deg): 90.00 90.00 90.00
Fractional positions:
Sn 0.0000 0.0000 0.0000
As 0.5000 0.5000 0.0000
Se 0.5000 0.5000 0.5000
Br 0.0000 0.5000 0.5000
Br 0.5000 0.0000 0.5000

Calculated values
Density of states at the Fermi level   3.09 states/eV/f.u.
M_tot   0.0 μB/f.u.

***

(C)
VASP calculation (PBE) on a relaxed structure of SnAsSeBr2.

a b c (Å): 5.3702 5.3702 5.7222
angles (deg): 90.00 90.00 90.00
Fractional positions:
Sn 0.0000 0.0000 0.0000
As 0.0000 0.0000 0.5000
Se 0.5000 0.5000 0.5000
Br 0.0000 0.5000 0.0000
Br 0.5000 0.0000 0.0000

Calculated values
Density of states at the Fermi level   3.01 states/eV/f.u.
M_tot   1.8 μB/f.u.

***

Order of stability, best first: (A), (B), (C)

***

(A)
VASP calculation (PBE) on a relaxed structure of SrAsSeBr2.

a b c (Å): 5.8180 5.8180 6.3154
angles (deg): 90.00 90.00 90.00
Fractional positions:
Sr 0.0000 0.0000 0.0000
As 0.5000 0.5000 0.5000
Se 0.0000 0.0000 0.5000
Br 0.0000 0.5000 0.0000
Br 0.5000 0.0000 0.0000

Calculated values
Density of states at the Fermi level   3.83 states/eV/f.u.
M_tot   1.0 μB/f.u.

***

(B)
VASP calculation (PBE) on a relaxed structure of SrAsSeBr2.

a b c (Å): 5.4610 5.4610 5.1891
angles (deg): 90.00 90.00 90.00
Fractional positions:
Sr 0.0000 0.0000 0.0000
As 0.5000 0.5000 0.0000
Se 0.5000 0.5000 0.5000
Br 0.0000 0.5000 0.5000
Br 0.5000 0.0000 0.5000

Calculated values
Density of states at the Fermi level   4.40 states/eV/f.u.
M_tot   0.0 μB/f.u.

***

Order of stability, best first: (B), (A)

***

(A)
VASP calculation (PBE) on a relaxed structure of SrAsSeBr2.

a b c (Å): 5.6536 5.6536 6.6123
angles (deg): 90.00 90.00 90.00
Fractional positions:
Sr 0.0000 0.0000 0.0000
As 0.0000 0.0000 0.5000
Se 0.5000 0.5000 0.5000
Br 0.0000 0.5000 0.0000
Br 0.5000 0.0000 0.0000

Calculated values
Density of states at the Fermi level   4.97 states/eV/f.u.
M_tot   1.7 μB/f.u.

***

(B)
VASP calculation (PBE) on a relaxed structure of SrAsSeBr2.

a b c (Å): 5.2545 5.2545 5.4632
angles (deg): 90.00 90.00 90.00
Fractional positions:
Sr 0.0000 0.0000 0.0000
As 0.5000 0.5000 0.5000
Se 0.5000 0.5000 0.0000
Br 0.0000 0.5000 0.5000
Br 0.5000 0.0000 0.5000

Calculated values
Density of states at the Fermi level   0.25 states/eV/f.u.
M_tot   0.0 μB/f.u.

***

Order of stability, best first: (B), (A)